Entry from Alexandria via LeMat-Bulk: a relaxed structure of Ac2Al4IrPd3 (PBE).

Computed properties:
E	-55.91	eV/f.u.
theoretical density	8.65	g cm⁻³
density of states at the Fermi level	0.825	states/eV/atom

abc: 4.466 4.466 10.338
angles: 90.00 90.00 90.00
Space group P-4m2 (No. 115)
Symmetry-distinct sites (fractional):
1 Ac 0.000 0.500 0.244
2 Al 0.000 0.000 0.500
3 Al 0.000 0.500 0.884
4 Al 0.500 0.500 0.500
5 Ir 0.500 0.500 0.000
6 Pd 0.000 0.000 0.000
7 Pd 0.000 0.500 0.629